*a*
Material: DyLuSn
Method: DFT, GGA-PBE
State: relaxed

Cell lengths 3.5182, 3.5182, 13.4495 Å; angles 90.00, 90.00, 90.00 degrees
Last column: nearest neighbours and their distance in Å.
Space group I4mm (No. 107)
Asymmetric unit:
Dy (0.0000, 0.0000, 0.0000)  4 Sn 3.28, 4 Dy 3.52, 4 Lu 3.53
Lu (0.0000, 0.0000, 0.6862)  4 Sn 3.24, 4 Lu 3.52, 4 Dy 3.53
Sn (0.0000, 0.0000, 0.3407)  4 Lu 3.24, 4 Dy 3.28, 4 Sn 3.52

- total magnetic moment (μB/cell) = 0.00

=====

*b*
Material: DyLuSn
Method: DFT, GGA-PBE
State: relaxed

Cell lengths 5.0848, 5.0848, 3.7543 Å; angles 90.00, 90.00, 120.00 degrees
Last column: nearest neighbours and their distance in Å.
Space group P3m1 (No. 156)
Asymmetric unit:
Dy (0.0000, 0.0000, 0.0000)  3 Sn 3.18, 3 Lu 3.39
Lu (0.6667, 0.3333, 0.4505)  3 Sn 3.06, 3 Dy 3.39
Sn (0.3333, 0.6667, 0.6774)  3 Lu 3.06, 3 Dy 3.18

- total magnetic moment (μB/cell) = 0.00

=====

Relative energies in kJ/mol of atoms: *a* 0.0; *b* 8.0